# GGA+U NbVO3, optimized geometry
data_NbVO3
_chemical_formula_sum 'Nb2 V2 O6'
_cell_length_a 3.2145
_cell_length_b 6.1862
_cell_length_c 6.4419
_cell_angle_alpha 103.05
_cell_angle_beta 90.00
_cell_angle_gamma 105.06
_space_group_name_H-M_alt 'P 1'
_space_group_IT_number 1
_space_group_name_Hall 'P 1'
loop_
_atom_site_label
_atom_site_type_symbol
_atom_site_fract_x
_atom_site_fract_y
_atom_site_fract_z
Nb1 Nb 0.3371 0.6742 0.6275
Nb2 Nb 0.6629 0.3258 0.3725
V1 V 0.1180 0.2360 0.9006
V2 V 0.8820 0.7640 0.0994
O1 O 0.1569 0.3137 0.6097
O2 O 0.0493 0.0986 0.2130
O3 O 0.6790 0.3580 0.0525
O4 O 0.9507 0.9014 0.7870
O5 O 0.8431 0.6862 0.3903
O6 O 0.3210 0.6420 0.9475
# Final energy   -8.40 eV per atom
# Symmetry   C2/m (12)